[1]
An optimized crystal structure of KAcP2S8. Source: Alexandria, functional PBE.

The structure belongs to space group P-3 (No. 147); the cell edges are 6.2475, 6.2475 and 9.8880 Å and the angles 90.00°, 90.00° and 120.00°. The inequivalent atoms are K at (0.0000, 0.0000, 0.0000), Ac at (0.0000, 0.0000, 0.5000), P at (0.3333, 0.6667, 0.7451), S at (0.0036, 0.6171, 0.3141) and S at (0.3333, 0.6667, 0.9511).

The value obtained for the total energy is -4.7059 eV/atom. As for the uncorrected formation energy: -619 meV/atom. Its crystal system is trigonal. The calculation puts the magnetic moment at 1.96 μB/f.u.

---

[2]
An optimized crystal structure of Ac2HgPd3. Source: Alexandria, functional PBE.

The structure belongs to space group Fmmm (No. 69); the cell edges are 8.010, 9.473 and 16.356 Å and the angles 90.00°, 90.00° and 90.00°. The inequivalent atoms are Ac at (0.244, 0.000, 0.000), Ac at (0.250, 0.250, 0.250), Hg at (0.000, 0.000, 0.335), Pd at (0.000, 0.000, 0.166) and Pd at (0.000, 0.246, 0.083).

The value obtained for the total energy is -4.7192 eV/atom. The calculation puts the formation energy at -0.7030 eV/atom. As for the excess energy over the best structure of this formula in the dataset: 14.0 meV/atom. Its crystal system is orthorhombic. The calculation puts the magnetic moment at 0.00 μB/f.u.

---

[3]
An optimized crystal structure of Li3SnBi2. Source: Alexandria, functional PBE.

The structure belongs to space group P4/mmm (No. 123); the cell edges are 3.432, 3.432 and 11.656 Å and the angles 90.00°, 90.00° and 90.00°. The inequivalent atoms are Li at (0.000, 0.000, 0.000), Li at (0.000, 0.000, 0.345), Sn at (0.500, 0.500, 0.500) and Bi at (0.500, 0.500, 0.177).

The value obtained for the total energy is -3.2600 eV/atom. The calculation puts the formation energy at -0.3422 eV/atom. Its crystal system is tetragonal. The calculation puts the magnetic moment at 0.00 μB/f.u.

---

[4]
An optimized crystal structure of Sm2PaTl. Source: Alexandria, functional PBE.

The structure belongs to space group P4/mmm (No. 123); the cell edges are 4.961, 4.961 and 4.575 Å and the angles 90.00°, 90.00° and 90.00°. The inequivalent atoms are Sm at (0.000, 0.500, 0.000), Pa at (0.000, 0.000, 0.500) and Tl at (0.500, 0.500, 0.500).

The value obtained for the total energy is -5.2692 eV/atom. The calculation puts the formation energy at 0.0559 eV/atom. As for the excess energy over the best structure of this formula in the dataset: 79.9 meV/atom. Its crystal system is tetragonal. The calculation puts the magnetic moment at 0.00 μB/f.u.

---

[5]
An optimized crystal structure of PIrSe2. Source: Alexandria, functional PBE.

The structure belongs to space group Immm (No. 71); the cell edges are 3.574, 3.805 and 12.368 Å and the angles 90.00°, 90.00° and 90.00°. The inequivalent atoms are P at (0.000, 0.000, 0.000), Ir at (0.000, 0.000, 0.500) and Se at (0.000, 0.500, 0.148).

The value obtained for the total energy is -5.1691 eV/atom. As for the uncorrected formation energy: 141 meV/atom. Its crystal system is orthorhombic. The calculation puts the magnetic moment at 0.00 μB/f.u.

---

[6]
An optimized crystal structure of ReAs2W. Source: Alexandria, functional PBE.

The structure belongs to space group I-4m2 (No. 119); the cell edges are 4.094, 4.094 and 7.572 Å and the angles 90.00°, 90.00° and 90.00°. The inequivalent atoms are Re at (0.000, 0.000, 0.000), As at (0.000, 0.000, 0.500), As at (0.000, 0.500, 0.250) and W at (0.000, 0.500, 0.750).

The value obtained for the total energy is -8.1592 eV/atom. The calculation puts the formation energy at 0.5159 eV/atom. As for the excess energy over the best structure of this formula in the dataset: 395.9 meV/atom. Its crystal system is tetragonal. The calculation puts the magnetic moment at 0.00 μB/f.u.

---

[7]
An optimized crystal structure of RbHfInF6. Source: Alexandria, functional PBE.

The structure belongs to space group P-31c (No. 163); the cell edges are 6.8394, 6.8394 and 8.7546 Å and the angles 90.00°, 90.00° and 120.00°. The inequivalent atoms are Rb at (0.3333, 0.6667, 0.2500), Hf at (0.3333, 0.6667, 0.7500), In at (0.0000, 0.0000, 0.0000) and F at (0.0944, 0.4171, 0.6217).

The value obtained for the total energy is -5.9395 eV/atom. As for the uncorrected formation energy: -3174 meV/atom. Its crystal system is trigonal. The calculation puts the magnetic moment at 0.00 μB/f.u.

---

[8]
An optimized crystal structure of RbHg2MoBr8. Source: Alexandria, functional PBE.

The structure belongs to space group P-1 (No. 2); the cell edges are 6.924, 7.588 and 9.436 Å and the angles 107.74°, 98.06° and 98.93°. The inequivalent atoms are Rb at (0.000, 0.000, 0.000), Hg at (0.347, 0.459, 0.779), Mo at (0.000, 0.000, 0.500), Br at (0.051, 0.739, 0.259), Br at (0.167, 0.832, 0.670), Br at (0.350, 0.212, 0.519) and Br at (0.495, 0.757, 0.003).

The value obtained for the total energy is -2.8049 eV/atom. As for the uncorrected formation energy: -656 meV/atom. Its crystal system is triclinic. The calculation puts the magnetic moment at 3.00 μB/f.u.

---

[9]
An optimized crystal structure of Hf5Ti3Al3. Source: Alexandria, functional PBE.

The structure belongs to space group P-62m (No. 189); the cell edges are 9.3712, 9.3712 and 2.9153 Å and the angles 90.00°, 90.00° and 120.00°. The inequivalent atoms are Hf at (0.0000, 0.6614, 0.0000), Hf at (0.3333, 0.6667, 0.0000), Ti at (0.0000, 0.1611, 0.0000) and Al at (0.0000, 0.4037, 0.5000).

The value obtained for the total energy is -7.4388 eV/atom. The calculation puts the formation energy at 0.2593 eV/atom. As for the excess energy over the best structure of this formula in the dataset: 16.2 meV/atom. Its crystal system is hexagonal. The calculation puts the magnetic moment at 0.00 μB/f.u.

---

[10]
An optimized crystal structure of AlSiPt2. Source: Alexandria, functional PBE.

The structure belongs to space group I-42d (No. 122); the cell edges are 5.522, 5.522 and 10.947 Å and the angles 90.00°, 90.00° and 90.00°. The inequivalent atoms are Al at (0.000, 0.000, 0.000), Si at (0.000, 0.000, 0.500) and Pt at (0.232, 0.250, 0.625).

The value obtained for the total energy is -5.7398 eV/atom. As for the uncorrected formation energy: -428 meV/atom. Its crystal system is tetragonal. The calculation puts the magnetic moment at 0.00 μB/f.u.

---

[11]
An optimized crystal structure of La2WBr. Source: Alexandria, functional PBE.

The structure belongs to space group C2/m (No. 12); the cell edges are 8.063, 7.928 and 3.421 Å and the angles 90.00°, 105.59° and 90.00°. The inequivalent atoms are La at (0.250, 0.250, 0.000), W at (0.000, 0.000, 0.500) and Br at (0.000, 0.500, 0.500).

The value obtained for the total energy is -6.1408 eV/atom. As for the uncorrected formation energy: -21 meV/atom. As for the excess energy over the best structure of this formula in the dataset: 201.0 meV/atom. Its crystal system is monoclinic. The calculation puts the magnetic moment at 0.00 μB/f.u.

---

[12]
An optimized crystal structure of Ba2As2N. Source: Alexandria, functional PBE.

The structure belongs to space group P4/mbm (No. 127); the cell edges are 8.021, 8.021 and 4.609 Å and the angles 90.00°, 90.00° and 90.00°. The inequivalent atoms are Ba at (0.189, 0.311, 0.000), As at (0.105, 0.605, 0.500) and N at (0.000, 0.000, 0.500).

The value obtained for the total energy is -4.3096 eV/atom. As for the uncorrected formation energy: -16 meV/atom. As for the excess energy over the best structure of this formula in the dataset: 38.2 meV/atom. Its crystal system is tetragonal. The calculation puts the magnetic moment at 1.17 μB/f.u.

---

[13]
An optimized crystal structure of K2ZnGa4Au3. Source: Alexandria, functional PBE.

The structure belongs to space group P-4m2 (No. 115); the cell edges are 4.637, 4.637 and 10.653 Å and the angles 90.00°, 90.00° and 90.00°. The inequivalent atoms are K at (0.000, 0.500, 0.247), Zn at (0.500, 0.500, 0.000), Ga at (0.000, 0.000, 0.500), Ga at (0.000, 0.500, 0.876), Ga at (0.500, 0.500, 0.500), Au at (0.000, 0.000, 0.000) and Au at (0.000, 0.500, 0.629).

The value obtained for the total energy is -2.7975 eV/atom. The calculation puts the formation energy at -0.2567 eV/atom. Its crystal system is tetragonal. The calculation puts the magnetic moment at 0.00 μB/f.u.

---

[14]
An optimized crystal structure of Cr3Ir. Source: Alexandria, functional PBE.

The structure belongs to space group P4/mmm (No. 123); the cell edges are 2.878, 2.878 and 6.071 Å and the angles 90.00°, 90.00° and 90.00°. The inequivalent atoms are Cr at (0.000, 0.000, 0.000), Cr at (0.500, 0.500, 0.222) and Ir at (0.000, 0.000, 0.500).

The value obtained for the total energy is -9.4357 eV/atom. The calculation puts the formation energy at -0.0029 eV/atom. Its crystal system is tetragonal. The calculation puts the magnetic moment at 1.91 μB/f.u.

---

[15]
An optimized crystal structure of Cd3SbSe. Source: Alexandria, functional PBE.

The structure belongs to space group C2/c (No. 15); the cell edges are 15.333, 12.198 and 8.006 Å and the angles 90.00°, 110.13° and 90.00°. The inequivalent atoms are Cd at (0.051, 0.184, 0.140), Cd at (0.081, 0.400, 0.636), Cd at (0.152, 0.042, 0.860), Sb at (0.000, 0.190, 0.750), Sb at (0.000, 0.415, 0.250) and Se at (0.229, 0.100, 0.206).

The value obtained for the total energy is -2.1783 eV/atom. As for the uncorrected formation energy: -108 meV/atom. As for the excess energy over the best structure of this formula in the dataset: 0.0 meV/atom. Its crystal system is monoclinic. The calculation puts the magnetic moment at 0.00 μB/f.u.

---

[16]
An optimized crystal structure of MnCdSi2. Source: Alexandria, functional PBE.

The structure belongs to space group Immm (No. 71); the cell edges are 2.629, 4.777 and 10.587 Å and the angles 90.00°, 90.00° and 90.00°. The inequivalent atoms are Mn at (0.000, 0.000, 0.000), Cd at (0.000, 0.000, 0.500) and Si at (0.000, 0.500, 0.307).

The value obtained for the total energy is -4.9168 eV/atom. As for the uncorrected formation energy: 316 meV/atom. Its crystal system is orthorhombic. The calculation puts the magnetic moment at 1.81 μB/f.u.

---

[17]
An optimized crystal structure of Li2IrCl. Source: Alexandria, functional PBE.

The structure belongs to space group Cmmm (No. 65); the cell edges are 3.041, 4.903 and 7.776 Å and the angles 90.00°, 90.00° and 90.00°. The inequivalent atoms are Li at (0.000, 0.000, 0.221), Ir at (0.000, 0.500, 0.500) and Cl at (0.000, 0.500, 0.000).

The value obtained for the total energy is -4.1492 eV/atom. As for the uncorrected formation energy: -515 meV/atom. As for the excess energy over the best structure of this formula in the dataset: 67.9 meV/atom. Its crystal system is orthorhombic. The calculation puts the magnetic moment at 0.00 μB/f.u.

---

[18]
An optimized crystal structure of La2MgAl2. Source: Alexandria, functional PBE.

The structure belongs to space group Cmmm (No. 65); the cell edges are 4.582, 15.874 and 3.774 Å and the angles 90.00°, 90.00° and 90.00°. The inequivalent atoms are La at (0.000, 0.125, 0.000), Mg at (0.000, 0.500, 0.500) and Al at (0.000, 0.295, 0.500).

The value obtained for the total energy is -4.0988 eV/atom. The calculation puts the formation energy at -0.3119 eV/atom. As for the excess energy over the best structure of this formula in the dataset: 0.0 meV/atom. Its crystal system is orthorhombic. The calculation puts the magnetic moment at 0.00 μB/f.u.

---

[19]
An optimized crystal structure of LuPuSe. Source: Alexandria, functional PBE.

The structure belongs to space group P3m1 (No. 156); the cell edges are 3.7465, 3.7465 and 6.6910 Å and the angles 90.00°, 90.00° and 120.00°. The inequivalent atoms are Lu at (0.0000, 0.0000, 0.0000), Pu at (0.6667, 0.3333, 0.5702) and Se at (0.3333, 0.6667, 0.2704).

The value obtained for the total energy is -8.2625 eV/atom. As for the uncorrected formation energy: -817 meV/atom. As for the excess energy over the best structure of this formula in the dataset: 0.0 meV/atom. Its crystal system is trigonal. The calculation puts the magnetic moment at 6.51 μB/f.u.

---

[20]
An optimized crystal structure of Nd2ErTm3S6. Source: Alexandria, functional PBE.

The structure belongs to space group C2/m (No. 12); the cell edges are 17.147, 3.890 and 7.929 Å and the angles 90.00°, 104.25° and 90.00°. The inequivalent atoms are Nd at (0.168, 0.000, 0.336), Er at (0.000, 0.500, 0.000), Tm at (0.000, 0.500, 0.500), Tm at (0.169, 0.000, 0.834), S at (0.005, 0.000, 0.751), S at (0.161, 0.500, 0.596) and S at (0.166, 0.500, 0.069).

The value obtained for the total energy is -6.3227 eV/atom. As for the uncorrected formation energy: -1966 meV/atom. Its crystal system is monoclinic. The calculation puts the magnetic moment at 0.00 μB/f.u.